Entry from Alexandria: an optimized crystal structure of Hg2AsHPb (PBE).

Lattice parameters (Å, degrees): 6.1411 5.4969 6.1411 90.00 90.00 90.00
Last column: magnetic moment on the atom in μB.
Fractional positions:
Pb  0.0000  0.0000  0.0000  0.03
H  0.5000  0.5000  0.5000  0.37
As  0.0000  0.5000  0.0000  0.34
Hg  0.0000  0.0000  0.5000  0.01
Hg  0.5000  0.0000  0.0000  0.03

Summary:
E_tot = -1.610 eV per atom

---

Entry from Alexandria: an optimized crystal structure of Ca3Cd (PBE).

Lattice parameters (Å, degrees): 11.4668 11.4668 11.4668 19.56 19.56 19.56
Fractional positions:
Ca  0.7373  0.7373  0.7373
Ca  0.5000  0.5000  0.5000
Ca  0.2627  0.2627  0.2627
Cd  0.0000  0.0000  0.0000

Summary:
Formation enthalpy at 0 K = -90 meV/atom

---

Entry from Alexandria: an optimized crystal structure of Ta4Be (PBE).

Lattice parameters (Å, degrees): 7.3617 7.3617 7.3617 150.68 150.68 41.95
Fractional positions:
Ta  0.7500  0.2500  0.5000
Ta  0.2500  0.7500  0.5000
Ta  0.5891  0.5891  0.0000
Ta  0.4109  0.4109  0.0000
Be  0.0000  0.0000  0.0000

Summary:
Formation enthalpy at 0 K = 1035 meV/atom
E above lowest polymorph = 919 meV/atom

---

Entry from Alexandria: an optimized crystal structure of SrCu2Ir (PBE).

Lattice parameters (Å, degrees): 5.1269 5.1269 5.1269 132.81 132.81 68.95
Fractional positions:
Cu  0.0000  0.0000  0.0000
Cu  0.2500  0.7500  0.5000
Ir  0.5000  0.5000  0.0000
Sr  0.7500  0.2500  0.5000

Summary:
Formation enthalpy at 0 K = 359 meV/atom
E above lowest polymorph = 445 meV/atom

---

Entry from Alexandria: an optimized crystal structure of Be2TlP (PBE).

Lattice parameters (Å, degrees): 4.6452 4.6452 4.6452 126.86 126.86 78.48
Fractional positions:
P  0.2500  0.7500  0.5000
Tl  0.7500  0.2500  0.5000
Be  0.0000  0.0000  0.0000
Be  0.5000  0.5000  0.0000

Summary:
Formation enthalpy at 0 K = 823 meV/atom
E above lowest polymorph = 639 meV/atom

---

Entry from Alexandria: an optimized crystal structure of La2Sb3AsRh4 (PBE).

Lattice parameters (Å, degrees): 4.5255 4.5255 10.4229 90.00 90.00 90.00
Fractional positions:
La  0.5000  0.0000  0.2560
La  0.0000  0.5000  0.7440
Sb  0.0000  0.0000  0.5000
Sb  0.5000  0.0000  0.8648
Sb  0.0000  0.5000  0.1352
As  0.5000  0.5000  0.5000
Rh  0.5000  0.5000  0.0000
Rh  0.0000  0.0000  0.0000
Rh  0.5000  0.0000  0.6158
Rh  0.0000  0.5000  0.3842

Summary:
Raw formation energy = -0.886 eV per atom

---

| no. | V (Å³ per atom) | M_tot (μB/f.u.) |
| --- | --- | --- |
| 1 | 41.46 | 1.75 |
| 2 | 36.94 | 0.00 |
| 3 | 19.09 | 0.00 |
| 4 | 17.80 | 0.00 |
| 5 | 15.53 | 0.00 |
| 6 | 21.35 | 0.00 |